[1]
# Ce5Ta2S12 (GGA-PBE, relaxed)
# Symmetry = No. 12
# Calculated volume = 23.91 A^3/atom
# Total magnetization = 0.033 μB per atom
# DOS at the Fermi energy = 33.4 states/eV per cell
# Total DFT energy (no corrections) = -7.07 eV/atom
data_Ce5Ta2S12
_chemical_formula_sum 'Ce5 Ta2 S12'
_symmetry_space_group_name_H-M 'P 1'
_symmetry_Int_Tables_number 1
_cell_length_a 6.9800
_cell_length_b 8.5247
_cell_length_c 8.7371
_cell_angle_alpha 105.19
_cell_angle_beta 90.00
_cell_angle_gamma 114.17
loop_
_symmetry_equiv_pos_as_xyz
'x,y,z'
loop_
_atom_site_label
_atom_site_type_symbol
_atom_site_fract_x
_atom_site_fract_y
_atom_site_fract_z
S1 S 0.0954 0.6947 0.4271
Ta1 Ta 0.7202 0.0000 0.0000
S2 S 0.0861 0.6703 0.9163
S3 S 0.5027 0.0053 0.2239
Ta2 Ta 0.2798 0.0000 0.0000
S4 S 0.4006 0.3053 0.5729
S5 S 0.4158 0.3297 0.0837
S6 S 0.0003 0.0007 0.8166
S7 S 0.9139 0.3297 0.0837
Ce1 Ce 0.6969 0.3939 0.3503
Ce2 Ce 0.0000 0.0000 0.5000
S8 S 0.5842 0.6703 0.9163
S9 S 0.5994 0.6947 0.4271
S10 S 0.4973 0.9947 0.7761
Ce3 Ce 0.3031 0.6061 0.6497
Ce4 Ce 0.6864 0.3727 0.8399
S11 S 0.9997 0.9993 0.1834
S12 S 0.9046 0.3053 0.5729
Ce5 Ce 0.3136 0.6273 0.1601

[2]
# Y3HgC (GGA-PBE, relaxed)
# Symmetry = No. 63
# Calculated volume = 28.91 A^3/atom
# DFT formation energy = 0.124 eV/atom
# Energy above the most stable polymorph in this dataset = 552.2 meV/atom
# Total magnetization = 0.000 μB per atom
# DOS at the Fermi energy = 11.7 states/eV per cell
data_Y3HgC
_chemical_formula_sum 'Y6 Hg2 C2'
_symmetry_space_group_name_H-M 'P 1'
_symmetry_Int_Tables_number 1
_cell_length_a 6.6573
_cell_length_b 6.6573
_cell_length_c 7.3559
_cell_angle_alpha 90.00
_cell_angle_beta 90.00
_cell_angle_gamma 117.52
loop_
_symmetry_equiv_pos_as_xyz
'x,y,z'
loop_
_atom_site_label
_atom_site_type_symbol
_atom_site_fract_x
_atom_site_fract_y
_atom_site_fract_z
Y1 Y 0.4949 0.0028 0.2500
Hg1 Hg 0.5003 0.4997 0.2500
Y2 Y 0.9972 0.5051 0.2500
Y3 Y 0.0000 0.0000 0.5000
Y4 Y 0.5051 0.9972 0.7500
Y5 Y 0.0000 0.0000 0.0000
Y6 Y 0.0028 0.4949 0.7500
C1 C 0.1259 0.8741 0.2500
Hg2 Hg 0.4997 0.5003 0.7500
C2 C 0.8741 0.1259 0.7500

[3]
# Mg6InHg10 (GGA-PBE, relaxed)
# Symmetry = No. 162
# Calculated volume = 22.92 A^3/atom
# DFT formation energy = -0.116 eV/atom
# Total magnetization = 0.000 μB per atom
# DOS at the Fermi energy = 5.3 states/eV per cell
data_Mg6InHg10
_chemical_formula_sum 'Mg6 In1 Hg10'
_symmetry_space_group_name_H-M 'P 1'
_symmetry_Int_Tables_number 1
_cell_length_a 6.0360
_cell_length_b 8.6341
_cell_length_c 8.6341
_cell_angle_alpha 120.00
_cell_angle_beta 90.00
_cell_angle_gamma 90.00
loop_
_symmetry_equiv_pos_as_xyz
'x,y,z'
loop_
_atom_site_label
_atom_site_type_symbol
_atom_site_fract_x
_atom_site_fract_y
_atom_site_fract_z
In1 In 0.5000 0.0000 0.0000
Mg1 Mg 0.6903 0.0000 0.6335
Mg2 Mg 0.6903 0.3665 0.3665
Mg3 Mg 0.6903 0.6335 0.0000
Mg4 Mg 0.3097 0.6335 0.6335
Hg1 Hg 0.1829 0.2837 0.2837
Mg5 Mg 0.3097 0.0000 0.3665
Hg2 Hg 0.1829 0.7163 0.0000
Hg3 Hg 0.0000 0.6667 0.3333
Hg4 Hg 0.5000 0.3333 0.6667
Hg5 Hg 0.5000 0.6667 0.3333
Hg6 Hg 0.8171 0.7163 0.7163
Hg7 Hg 0.8171 0.0000 0.2837
Hg8 Hg 0.0000 0.3333 0.6667
Hg9 Hg 0.8171 0.2837 0.0000
Mg6 Mg 0.3097 0.3665 0.0000
Hg10 Hg 0.1829 0.0000 0.7163

| no. | ρ (g cm⁻³) |
| --- | --- |
| 1 | 5.290 |
| 2 | 5.506 |
| 3 | 9.658 |